1.
! FePd2Ru, relaxed, DFT PBE; values from VASP
&SYSTEM
  ibrav = 0, nat = 4, ntyp = 3
/
ATOMIC_SPECIES
Ru 101.07 Ru.upf
Fe 55.84 Fe.upf
Pd 106.42 Pd.upf
ATOMIC_POSITIONS crystal
Ru 0.5000 0.5000 0.5000
Fe 0.0000 0.0000 0.0000
Pd 0.2500 0.2500 0.2500
Pd 0.7500 0.7500 0.7500
CELL_PARAMETERS angstrom
0.0000 3.0427 3.0427
3.0427 0.0000 3.0427
3.0427 3.0427 0.0000
! Theoretical density (kg/m3): 10898
! Polymorph energy (0 for the lowest one) (kcal/mol of atoms): 0.00
! E_tot (eV per atom): -6.4702
! Space-group type: Fm-3m (225)
! Size of the total moment (μB per atom): 0.000
! E_form (eV/atom): 0.56

---

2.
! FePdRu, relaxed, DFT PBE; values from VASP
&SYSTEM
  ibrav = 0, nat = 3, ntyp = 3
/
ATOMIC_SPECIES
Ru 101.07 Ru.upf
Fe 55.84 Fe.upf
Pd 106.42 Pd.upf
ATOMIC_POSITIONS crystal
Ru 0.3333 0.6667 0.6505
Fe 0.6667 0.3333 0.3407
Pd 0.0000 0.0000 0.0089
CELL_PARAMETERS angstrom
2.7066 0.0000 0.0000
-1.3533 2.3440 0.0000
0.0000 0.0000 6.5196
! Theoretical density (kg/m3): 10572
! E_tot (eV per atom): -7.5211
! Space-group type: P3m1 (156)
! Size of the total moment (μB per atom): 0.771
! E_form (eV/atom): 0.12

---

3.
! Fe4PdRu, relaxed, DFT PBE; values from VASP
&SYSTEM
  ibrav = 0, nat = 6, ntyp = 3
/
ATOMIC_SPECIES
Ru 101.07 Ru.upf
Fe 55.84 Fe.upf
Pd 106.42 Pd.upf
ATOMIC_POSITIONS crystal
Ru 0.2500 0.2500 0.2500
Fe 0.6248 0.6248 0.1256
Fe 0.6248 0.1256 0.6248
Fe 0.6248 0.6248 0.6248
Fe 0.1256 0.6248 0.6248
Pd 0.0000 0.0000 0.0000
CELL_PARAMETERS angstrom
-2.8211 0.1931 -3.7797
-0.7518 -3.8778 -2.5845
-4.2181 -2.1169 0.0925
! Theoretical density (kg/m3): 9620
! E_tot (eV per atom): -7.9301
! Space-group type: F-43m (216)
! Size of the total moment (μB per atom): 1.389
! E_form (eV/atom): 0.12

---

4.
! Fe3PdS, relaxed, DFT PBE; values from VASP
&SYSTEM
  ibrav = 0, nat = 5, ntyp = 3
/
ATOMIC_SPECIES
S 32.06 S.upf
Fe 55.84 Fe.upf
Pd 106.42 Pd.upf
ATOMIC_POSITIONS crystal
S 0.5000 0.5000 0.5000
Fe 0.0000 0.5000 0.0000
Fe 0.0000 0.0000 0.5000
Fe 0.5000 0.0000 0.0000
Pd 0.0000 0.0000 0.0000
CELL_PARAMETERS angstrom
-4.2670 0.2034 -1.8200
-1.1650 -3.8620 2.2998
-1.4129 2.5700 3.6000
! Theoretical density (kg/m3): 5076
! Polymorph energy (0 for the lowest one) (kcal/mol of atoms): 23.76
! E_tot (eV per atom): -5.7076
! Space-group type: Pm-3m (221)
! Size of the total moment (μB per atom): 2.022
! Formation energy (no corrections) (eV/atom): 1.234

---

5.
! Fe3PdS, relaxed, DFT PBE; values from VASP
&SYSTEM
  ibrav = 0, nat = 5, ntyp = 3
/
ATOMIC_SPECIES
S 32.06 S.upf
Fe 55.84 Fe.upf
Pd 106.42 Pd.upf
ATOMIC_POSITIONS crystal
S 0.0000 0.0000 0.0000
Fe 0.0000 0.5000 0.0000
Fe 0.0000 0.0000 0.5000
Fe 0.5000 0.0000 0.0000
Pd 0.5000 0.5000 0.5000
CELL_PARAMETERS angstrom
-1.1495 0.2272 3.9882
3.9420 -0.6071 1.1708
0.6464 4.1059 -0.0475
! Theoretical density (kg/m3): 7075
! Polymorph energy (0 for the lowest one) (kcal/mol of atoms): 0.00
! E_tot (eV per atom): -6.7380
! Space-group type: Pm-3m (221)
! Size of the total moment (μB per atom): 1.506
! Formation energy (no corrections) (eV/atom): 0.204

---

6.
! FePdS, relaxed, DFT PBE; values from VASP
&SYSTEM
  ibrav = 0, nat = 12, ntyp = 3
/
ATOMIC_SPECIES
Fe 55.84 Fe.upf
Pd 106.42 Pd.upf
S 32.06 S.upf
ATOMIC_POSITIONS crystal
Fe 0.0000 0.5000 0.8243
Fe 0.5000 0.1757 0.5000
Fe 0.5000 0.8243 0.5000
Fe 0.0000 0.5000 0.1757
Pd 0.0000 0.6875 0.5000
Pd 0.5000 0.5000 0.6875
Pd 0.5000 0.5000 0.3125
Pd 0.0000 0.3125 0.5000
S 0.0000 0.7418 0.0000
S 0.5000 0.0000 0.7418
S 0.5000 0.0000 0.2582
S 0.0000 0.2582 0.0000
CELL_PARAMETERS angstrom
-1.4641 -1.5025 4.0614
5.6077 -4.2886 0.4349
3.6674 5.1216 3.2167
! Theoretical density (kg/m3): 5644
! E_tot (eV per atom): -5.8061
! Space-group type: P4_2/mmc (131)
! Size of the total moment (μB per atom): 0.847
! Formation energy (no corrections) (eV/atom): 0.122

---

7.
! FeSb2PdS, relaxed, DFT PBE; values from VASP
&SYSTEM
  ibrav = 0, nat = 5, ntyp = 4
/
ATOMIC_SPECIES
Sb 121.76 Sb.upf
S 32.06 S.upf
Fe 55.84 Fe.upf
Pd 106.42 Pd.upf
ATOMIC_POSITIONS crystal
Sb 0.0000 0.0000 0.5000
Sb 0.5000 0.0000 0.0000
S 0.0000 0.5000 0.0000
Fe 0.0000 0.0000 0.0000
Pd 0.5000 0.5000 0.5000
CELL_PARAMETERS angstrom
-1.0994 4.2772 -2.6344
-3.8104 -1.0478 -0.1111
-0.8184 2.5083 4.4138
! Theoretical density (kg/m3): 6955
! E_tot (eV per atom): -4.9458
! Space-group type: P4/mmm (123)
! Size of the total moment (μB per atom): 0.000
! Formation energy (no corrections) (eV/atom): 0.260

---

8.
! FeSiPdS2, relaxed, DFT PBE; values from VASP
&SYSTEM
  ibrav = 0, nat = 5, ntyp = 4
/
ATOMIC_SPECIES
S 32.06 S.upf
Si 28.09 Si.upf
Fe 55.84 Fe.upf
Pd 106.42 Pd.upf
ATOMIC_POSITIONS crystal
S 0.0000 0.0000 0.5000
S 0.5000 0.0000 0.0000
Si 0.0000 0.0000 0.0000
Fe 0.5000 0.5000 0.5000
Pd 0.0000 0.5000 0.0000
CELL_PARAMETERS angstrom
4.5385 0.0000 0.0000
0.0000 4.5814 0.0000
0.0000 0.0000 4.5385
! Theoretical density (kg/m3): 4478
! E_tot (eV per atom): -4.8245
! Space-group type: P4/mmm (123)
! Size of the total moment (μB per atom): 0.724
! Formation energy (no corrections) (eV/atom): 0.642